(1)
PBE In2GaRh, optimized geometry; crystal system = trigonal; M_tot = 0.00 μB per formula unit; total energy = -4.015 eV/atom; Fermi-level density of states = 7.31 states/eV/cell
1.0
3.1942 0.0000 0.0000
-1.5971 2.7663 0.0000
0.0000 0.0000 28.7277
In Ga Rh
6 3 3
Direct
0.0000 0.0000 0.0963 In
0.0000 0.0000 0.9037 In
0.3333 0.6667 0.5703 In
0.3333 0.6667 0.7630 In
0.6667 0.3333 0.2370 In
0.6667 0.3333 0.4297 In
0.0000 0.0000 0.0000 Ga
0.3333 0.6667 0.6667 Ga
0.6667 0.3333 0.3333 Ga
0.0000 0.0000 0.5000 Rh
0.3333 0.6667 0.1667 Rh
0.6667 0.3333 0.8333 Rh

(2)
PBE In2GaRh2, optimized geometry; crystal system = tetragonal; M_tot = 0.00 μB per formula unit; total energy = -5.062 eV/atom; Fermi-level density of states = 4.61 states/eV/cell
1.0
6.6014 0.0000 0.0000
0.0000 6.6014 0.0000
0.0000 0.0000 4.1169
In Ga Rh
4 2 4
Direct
0.1569 0.3431 0.0000 In
0.3431 0.8431 0.0000 In
0.6569 0.1569 0.0000 In
0.8431 0.6569 0.0000 In
0.0000 0.0000 0.5000 Ga
0.5000 0.5000 0.5000 Ga
0.1536 0.6536 0.5000 Rh
0.3464 0.1536 0.5000 Rh
0.6536 0.8464 0.5000 Rh
0.8464 0.3464 0.5000 Rh

(3)
PBE InGaRh2, optimized geometry; crystal system = tetragonal; M_tot = 0.00 μB per formula unit; total energy = -5.245 eV/atom; Fermi-level density of states = 3.12 states/eV/cell
1.0
6.9298 0.0000 0.0000
0.0000 6.9298 0.0000
0.0000 0.0000 5.8024
In Ga Rh
4 4 8
Direct
0.0000 0.0000 0.0000 In
0.0000 0.5000 0.2500 In
0.5000 0.0000 0.7500 In
0.5000 0.5000 0.5000 In
0.0000 0.0000 0.5000 Ga
0.0000 0.5000 0.7500 Ga
0.5000 0.0000 0.2500 Ga
0.5000 0.5000 0.0000 Ga
0.2175 0.7500 0.6250 Rh
0.2500 0.2175 0.3750 Rh
0.2500 0.2825 0.8750 Rh
0.2825 0.7500 0.1250 Rh
0.7175 0.2500 0.1250 Rh
0.7500 0.7175 0.8750 Rh
0.7500 0.7825 0.3750 Rh
0.7825 0.2500 0.6250 Rh

(4)
PBE In3GaRh4, optimized geometry; crystal system = tetragonal; M_tot = 0.00 μB per formula unit; total energy = -5.569 eV/atom; Fermi-level density of states = 1.71 states/eV/cell
1.0
3.0967 0.0000 0.0000
0.0000 3.0967 0.0000
0.0000 0.0000 13.5092
In Ga Rh
3 1 4
Direct
0.0000 0.0000 0.0000 In
0.0000 0.0000 0.2584 In
0.0000 0.0000 0.7416 In
0.0000 0.0000 0.5000 Ga
0.5000 0.5000 0.1309 Rh
0.5000 0.5000 0.3912 Rh
0.5000 0.5000 0.6088 Rh
0.5000 0.5000 0.8691 Rh

(5)
PBE In2GaRh, optimized geometry; crystal system = tetragonal; M_tot = 0.00 μB per formula unit; total energy = -4.156 eV/atom; Fermi-level density of states = 0.00 states/eV/cell
1.0
10.0712 0.0000 0.0000
0.0000 10.0712 0.0000
0.0000 0.0000 4.8211
In Ga Rh
8 4 4
Direct
0.0000 0.0000 0.0000 In
0.0000 0.5000 0.0000 In
0.2500 0.2500 0.7500 In
0.2500 0.7500 0.2500 In
0.5000 0.0000 0.5000 In
0.5000 0.5000 0.5000 In
0.7500 0.2500 0.7500 In
0.7500 0.7500 0.2500 In
0.0000 0.2500 0.3750 Ga
0.0000 0.7500 0.6250 Ga
0.5000 0.2500 0.1250 Ga
0.5000 0.7500 0.8750 Ga
0.0000 0.2500 0.8750 Rh
0.0000 0.7500 0.1250 Rh
0.5000 0.2500 0.6250 Rh
0.5000 0.7500 0.3750 Rh

(6)
PBE In3GaRh3, optimized geometry; crystal system = trigonal; M_tot = 0.00 μB per formula unit; total energy = -5.148 eV/atom; Fermi-level density of states = 5.36 states/eV/cell
1.0
4.4405 2.5637 1.8617
-4.4405 2.5637 1.8617
0.0000 -5.1274 1.8617
In Ga Rh
3 1 3
Direct
0.0000 0.5000 0.5000 In
0.5000 0.0000 0.5000 In
0.5000 0.5000 0.0000 In
0.0000 0.0000 0.0000 Ga
0.0000 0.0000 0.5000 Rh
0.0000 0.5000 0.0000 Rh
0.5000 0.0000 0.0000 Rh

(7)
PBE In4GaRh5, optimized geometry; crystal system = tetragonal; M_tot = 0.00 μB per formula unit; total energy = -5.545 eV/atom; Fermi-level density of states = 2.88 states/eV/cell
1.0
3.1092 0.0000 0.0000
0.0000 3.1092 0.0000
0.0000 0.0000 16.9095
In Ga Rh
4 1 5
Direct
0.0000 0.0000 0.1028 In
0.0000 0.0000 0.3078 In
0.0000 0.0000 0.6922 In
0.0000 0.0000 0.8972 In
0.0000 0.0000 0.5000 Ga
0.5000 0.5000 0.0000 Rh
0.5000 0.5000 0.2066 Rh
0.5000 0.5000 0.4135 Rh
0.5000 0.5000 0.5865 Rh
0.5000 0.5000 0.7934 Rh

(8)
PBE InGa2Rh2, optimized geometry; crystal system = tetragonal; M_tot = 0.00 μB per formula unit; total energy = -5.132 eV/atom; Fermi-level density of states = 3.17 states/eV/cell
1.0
3.6535 0.0000 0.0000
0.0000 3.6535 0.0000
0.0000 0.0000 12.6031
In Ga Rh
2 4 4
Direct
0.0000 0.0000 0.0000 In
0.5000 0.5000 0.5000 In
0.0000 0.5000 0.2500 Ga
0.0000 0.5000 0.7500 Ga
0.5000 0.0000 0.2500 Ga
0.5000 0.0000 0.7500 Ga
0.0000 0.0000 0.3920 Rh
0.0000 0.0000 0.6080 Rh
0.5000 0.5000 0.1080 Rh
0.5000 0.5000 0.8920 Rh

Which of these has the lowest total energy?
In3GaRh4